[1]
## ThZnCdAg (PBE)

Data for ThZnCdAg after structural relaxation.

abc: 5.0114 5.0114 5.0114
angles: 60.00 60.00 60.00
With the nearest neighbours (Å) after each atom.
Fractional positions:
Cd1 0.7500 0.7500 0.7500  4 Ag 3.07, 4 Zn 3.07
Zn1 0.0000 0.0000 0.0000  4 Th 3.07, 4 Cd 3.07
Ag1 0.5000 0.5000 0.5000  4 Cd 3.07, 4 Th 3.07
Th1 0.2500 0.2500 0.2500  4 Ag 3.07, 4 Zn 3.07

Output
V = 22.25 Å³/atom
magnetization = 0.00 Bohr magnetons per cell
density of states at the Fermi level = 0.549 states/eV/atom
mass density = 9.660 Mg/m³
final energy = -3.2907 eV per atom
space group = F-43m (216)

[2]
## TiCd2Ag (PBE)

Data for TiCd2Ag after structural relaxation.

abc: 7.7125 7.7125 6.1733
angles: 51.34 51.34 90.00
With the nearest neighbours (Å) after each atom.
Fractional positions:
Ag1 0.7500 0.2500 0.5000  4 Cd 2.77, 2 Ti 2.89
Ag2 0.0000 0.0000 0.0000  4 Cd 2.77, 2 Ti 2.89
Ti1 0.5000 0.5000 0.0000  4 Cd 2.87, 2 Ag 2.89
Ti2 0.2500 0.7500 0.5000  4 Cd 2.87, 2 Ag 2.89
Cd1 0.6343 0.1250 0.2500  2 Ag 2.77, 2 Ti 2.87, 2 Cd 2.90
Cd2 0.3750 0.3657 0.7500  2 Ag 2.77, 2 Ti 2.87, 2 Cd 2.90
Cd3 0.1157 0.6250 0.2500  2 Ag 2.77, 2 Ti 2.87, 2 Cd 2.90
Cd4 0.8750 0.8843 0.7500  2 Ag 2.77, 2 Ti 2.87, 2 Cd 2.90

Output
V = 21.51 Å³/atom
magnetization = 2.89 Bohr magnetons per cell
density of states at the Fermi level = 0.796 states/eV/atom
mass density = 7.345 Mg/m³
final energy = -2.7753 eV per atom
space group = I-42d (122)

[3]
## Ti4CdAg (PBE)

Data for Ti4CdAg after structural relaxation.

abc: 2.8841 2.8841 12.9128
angles: 90.00 90.00 90.00
With the nearest neighbours (Å) after each atom.
Fractional positions:
Ti1 0.5000 0.5000 0.8144  8 Ti 2.80-2.88
Ti2 0.0000 0.0000 0.3340  8 Ti 2.80-2.88, 4 Ag 2.96
Ti3 0.5000 0.5000 0.1856  8 Ti 2.80-2.88
Ti4 0.0000 0.0000 0.6660  8 Ti 2.80-2.88, 4 Ag 2.96
Ag1 0.5000 0.5000 0.5000  4 Ag 2.88, 8 Ti 2.96
Cd1 0.0000 0.0000 0.0000  4 Cd 2.88, 8 Ti 3.15

Output
V = 17.90 Å³/atom
magnetization = 0.00 Bohr magnetons per cell
density of states at the Fermi level = 0.623 states/eV/atom
mass density = 6.366 Mg/m³
final energy = -5.9483 eV per atom
space group = P4/mmm (123)

[4]
## Ti3Cd2Ag2 (PBE)

Data for Ti3Cd2Ag2 after structural relaxation.

abc: 2.9788 2.9864 14.9202
angles: 90.00 95.73 90.00
With the nearest neighbours (Å) after each atom.
Fractional positions:
Cd1 0.2948 0.5000 0.5895  6 Cd 2.98-3.05, 4 Ag 3.02
Cd2 0.7052 0.5000 0.4105  6 Cd 2.98-3.05, 4 Ag 3.02
Ti1 0.0000 0.0000 0.0000  12 Ti 2.84-2.99
Ti2 0.5639 0.5000 0.1277  8 Ti 2.84-2.99, 4 Ag 2.94
Ti3 0.4361 0.5000 0.8723  8 Ti 2.84-2.99, 4 Ag 2.94
Ag1 0.1326 0.0000 0.2653  4 Ti 2.94, 4 Ag 2.98-2.99, 4 Cd 3.02
Ag2 0.8674 0.0000 0.7347  4 Ti 2.94, 4 Ag 2.98-2.99, 4 Cd 3.02

Output
V = 18.87 Å³/atom
magnetization = 0.00 Bohr magnetons per cell
density of states at the Fermi level = 0.676 states/eV/atom
mass density = 7.345 Mg/m³
final energy = -4.4741 eV per atom
space group = Cmmm (65)

[5]
## Ti12Cd3Ag5 (PBE)

Data for Ti12Cd3Ag5 after structural relaxation.

abc: 13.6042 13.6042 13.6042
angles: 109.47 109.47 109.47
With the nearest neighbours (Å) after each atom.
Fractional positions:
Ag1 0.2500 0.8750 0.1250  4 Ti 2.75
Ag2 0.8750 0.6250 0.7500  4 Ti 2.75
Ag3 0.1250 0.3750 0.2500  4 Ti 2.75
Ag4 0.5000 0.5000 0.5000  6 Ti 2.65
Ag5 0.6250 0.7500 0.8750  4 Ti 2.75
Ag6 0.6250 0.8750 0.2500  4 Ti 2.75
Ag7 0.7500 0.6250 0.3750  4 Ti 2.75
Ag8 0.7500 0.1250 0.8750  4 Ti 2.75
Ag9 0.5000 0.5000 0.0000  6 Ti 2.65
Ag10 0.5000 0.0000 0.0000  6 Ti 2.65
Ag11 0.0000 0.5000 0.0000  6 Ti 2.65
Ag12 0.2500 0.3750 0.6250  4 Ti 2.75
Ag13 0.3750 0.2500 0.1250  4 Ti 2.75
Ag14 0.8750 0.2500 0.6250  4 Ti 2.75
Ag15 0.5000 0.0000 0.5000  6 Ti 2.65
Ag16 0.0000 0.0000 0.0000  6 Ti 2.65
Ag17 0.0000 0.0000 0.5000  6 Ti 2.65
Ag18 0.3750 0.1250 0.7500  4 Ti 2.75
Ag19 0.1250 0.7500 0.3750  4 Ti 2.75
Ag20 0.0000 0.5000 0.5000  6 Ti 2.65
Ti1 0.1496 0.7257 0.5732  2 Ag 2.65-2.75, 3 Ti 2.73-2.93, 2 Cd 2.78
Ti2 0.5732 0.2257 0.1496  2 Ag 2.65-2.75, 3 Ti 2.73-2.93, 2 Cd 2.78
Ti3 0.5764 0.9268 0.6525  2 Ag 2.65-2.75, 3 Ti 2.73-2.93, 2 Cd 2.78
Ti4 0.3504 0.9268 0.7743  2 Ag 2.65-2.75, 3 Ti 2.73-2.93, 2 Cd 2.78
Ti5 0.0764 0.1525 0.4268  2 Ag 2.65-2.75, 3 Ti 2.73-2.93, 2 Cd 2.78
Ti6 0.5762 0.8504 0.4236  2 Ag 2.65-2.75, 3 Ti 2.73-2.93, 2 Cd 2.78
Ti7 0.9236 0.8475 0.5732  2 Ag 2.65-2.75, 3 Ti 2.73-2.93, 2 Cd 2.78
Ti8 0.3475 0.5732 0.4236  2 Ag 2.65-2.75, 3 Ti 2.73-2.93, 2 Cd 2.78
Ti9 0.9238 0.0764 0.6496  2 Ag 2.65-2.75, 3 Ti 2.73-2.93, 2 Cd 2.78
Ti10 0.8504 0.2743 0.4268  2 Ag 2.65-2.75, 3 Ti 2.73-2.93, 2 Cd 2.78
Ti11 0.7257 0.1496 0.0732  2 Ag 2.65-2.75, 3 Ti 2.73-2.93, 2 Cd 2.78
Ti12 0.9268 0.3504 0.2743  2 Ag 2.65-2.75, 3 Ti 2.73-2.93, 2 Cd 2.78
Ti13 0.0764 0.9238 0.1496  2 Ag 2.65-2.75, 3 Ti 2.73-2.93, 2 Cd 2.78
Ti14 0.4236 0.3504 0.5762  2 Ag 2.65-2.75, 3 Ti 2.73-2.93, 2 Cd 2.78
Ti15 0.4268 0.7743 0.8504  2 Ag 2.65-2.75, 3 Ti 2.73-2.93, 2 Cd 2.78
Ti16 0.1525 0.0762 0.7257  2 Ag 2.65-2.75, 3 Ti 2.73-2.93, 2 Cd 2.78
Ti17 0.9236 0.0762 0.8504  2 Ag 2.65-2.75, 3 Ti 2.73-2.93, 2 Cd 2.78
Ti18 0.3504 0.4236 0.0762  2 Ag 2.65-2.75, 3 Ti 2.73-2.93, 2 Cd 2.78
Ti19 0.1525 0.0764 0.9268  2 Ag 2.65-2.75, 3 Ti 2.73-2.93, 2 Cd 2.78
Ti20 0.5732 0.3475 0.9236  2 Ag 2.65-2.75, 3 Ti 2.73-2.93, 2 Cd 2.78
Ti21 0.7743 0.4268 0.3504  2 Ag 2.65-2.75, 3 Ti 2.73-2.93, 2 Cd 2.78
Ti22 0.4238 0.2743 0.3475  2 Ag 2.65-2.75, 3 Ti 2.73-2.93, 2 Cd 2.78
Ti23 0.5764 0.6496 0.4238  2 Ag 2.65-2.75, 3 Ti 2.73-2.93, 2 Cd 2.78
Ti24 0.2257 0.5732 0.6496  2 Ag 2.65-2.75, 3 Ti 2.73-2.93, 2 Cd 2.78
Ti25 0.1496 0.4238 0.0764  2 Ag 2.65-2.75, 3 Ti 2.73-2.93, 2 Cd 2.78
Ti26 0.4238 0.1496 0.5764  2 Ag 2.65-2.75, 3 Ti 2.73-2.93, 2 Cd 2.78
Ti27 0.0762 0.1525 0.2257  2 Ag 2.65-2.75, 3 Ti 2.73-2.93, 2 Cd 2.78
Ti28 0.5762 0.7257 0.6525  2 Ag 2.65-2.75, 3 Ti 2.73-2.93, 2 Cd 2.78
Ti29 0.0732 0.4236 0.8475  2 Ag 2.65-2.75, 3 Ti 2.73-2.93, 2 Cd 2.78
Ti30 0.6496 0.5764 0.9238  2 Ag 2.65-2.75, 3 Ti 2.73-2.93, 2 Cd 2.78
Ti31 0.7743 0.3475 0.9238  2 Ag 2.65-2.75, 3 Ti 2.73-2.93, 2 Cd 2.78
Ti32 0.2743 0.4238 0.8475  2 Ag 2.65-2.75, 3 Ti 2.73-2.93, 2 Cd 2.78
Ti33 0.2257 0.6525 0.0762  2 Ag 2.65-2.75, 3 Ti 2.73-2.93, 2 Cd 2.78
Ti34 0.3475 0.7743 0.4238  2 Ag 2.65-2.75, 3 Ti 2.73-2.93, 2 Cd 2.78
Ti35 0.7257 0.5762 0.1525  2 Ag 2.65-2.75, 3 Ti 2.73-2.93, 2 Cd 2.78
Ti36 0.9268 0.5764 0.1525  2 Ag 2.65-2.75, 3 Ti 2.73-2.93, 2 Cd 2.78
Ti37 0.4236 0.0732 0.3475  2 Ag 2.65-2.75, 3 Ti 2.73-2.93, 2 Cd 2.78
Ti38 0.0732 0.6496 0.7257  2 Ag 2.65-2.75, 3 Ti 2.73-2.93, 2 Cd 2.78
Ti39 0.0762 0.9236 0.3504  2 Ag 2.65-2.75, 3 Ti 2.73-2.93, 2 Cd 2.78
Ti40 0.2743 0.8504 0.9268  2 Ag 2.65-2.75, 3 Ti 2.73-2.93, 2 Cd 2.78
Ti41 0.6525 0.4268 0.5764  2 Ag 2.65-2.75, 3 Ti 2.73-2.93, 2 Cd 2.78
Ti42 0.6525 0.2257 0.5762  2 Ag 2.65-2.75, 3 Ti 2.73-2.93, 2 Cd 2.78
Ti43 0.8504 0.5762 0.9236  2 Ag 2.65-2.75, 3 Ti 2.73-2.93, 2 Cd 2.78
Ti44 0.8475 0.9238 0.2743  2 Ag 2.65-2.75, 3 Ti 2.73-2.93, 2 Cd 2.78
Ti45 0.9238 0.8475 0.7743  2 Ag 2.65-2.75, 3 Ti 2.73-2.93, 2 Cd 2.78
Ti46 0.4268 0.6525 0.0764  2 Ag 2.65-2.75, 3 Ti 2.73-2.93, 2 Cd 2.78
Ti47 0.6496 0.0732 0.2257  2 Ag 2.65-2.75, 3 Ti 2.73-2.93, 2 Cd 2.78
Ti48 0.8475 0.9236 0.0732  2 Ag 2.65-2.75, 3 Ti 2.73-2.93, 2 Cd 2.78
Cd1 0.2500 0.6250 0.8750  8 Ti 2.78
Cd2 0.3750 0.7500 0.6250  8 Ti 2.78
Cd3 0.6250 0.2500 0.3750  8 Ti 2.78
Cd4 0.3750 0.6250 0.2500  8 Ti 2.78
Cd5 0.1250 0.8750 0.7500  8 Ti 2.78
Cd6 0.2500 0.1250 0.3750  8 Ti 2.78
Cd7 0.7500 0.3750 0.1250  8 Ti 2.78
Cd8 0.8750 0.1250 0.2500  8 Ti 2.78
Cd9 0.6250 0.3750 0.7500  8 Ti 2.78
Cd10 0.8750 0.7500 0.1250  8 Ti 2.78
Cd11 0.1250 0.2500 0.8750  8 Ti 2.78
Cd12 0.7500 0.8750 0.6250  8 Ti 2.78

Output
V = 24.23 Å³/atom
magnetization = 48.81 Bohr magnetons per cell
density of states at the Fermi level = 0.943 states/eV/atom
mass density = 4.972 Mg/m³
final energy = -4.7824 eV per atom
space group = Ia-3d (230)

[6]
## TiCd2Ag2 (PBE)

Data for TiCd2Ag2 after structural relaxation.

abc: 7.9716 7.9716 3.1219
angles: 90.00 90.00 90.00
With the nearest neighbours (Å) after each atom.
Fractional positions:
Ag1 0.3715 0.8715 0.0000  6 Cd 2.75-2.87, 1 Ag 2.90
Ag2 0.1285 0.3715 0.0000  6 Cd 2.75-2.87, 1 Ag 2.90
Ag3 0.6285 0.1285 0.0000  6 Cd 2.75-2.87, 1 Ag 2.90
Ag4 0.8715 0.6285 0.0000  6 Cd 2.75-2.87, 1 Ag 2.90
Cd1 0.6711 0.8289 0.5000  6 Ag 2.75-2.87
Cd2 0.1711 0.6711 0.5000  6 Ag 2.75-2.87
Cd3 0.3289 0.1711 0.5000  6 Ag 2.75-2.87
Cd4 0.8289 0.3289 0.5000  6 Ag 2.75-2.87
Ti1 0.5000 0.5000 0.0000  2 Ti 3.12, 4 Ag 3.13, 8 Cd 3.34
Ti2 0.0000 0.0000 0.0000  2 Ti 3.12, 4 Ag 3.13, 8 Cd 3.34

Output
V = 19.84 Å³/atom
ΔE to the lowest computed polymorph = 0.0 meV per atom
magnetization = 3.84 Bohr magnetons per cell
density of states at the Fermi level = 0.529 states/eV/atom
mass density = 8.176 Mg/m³
final energy = -2.9251 eV per atom
space group = P4/mbm (127)

[7]
## TiCd4Ag5 (PBE)

Data for TiCd4Ag5 after structural relaxation.

abc: 3.0181 3.0181 20.8554
angles: 90.00 90.00 90.00
With the nearest neighbours (Å) after each atom.
Fractional positions:
Ag1 0.5000 0.5000 0.0930  4 Ti 2.88, 4 Cd 3.00, 4 Ag 3.02
Ag2 0.5000 0.5000 0.5000  8 Cd 3.01, 4 Ag 3.02
Ag3 0.5000 0.5000 0.2960  8 Cd 3.01, 4 Ag 3.02
Ag4 0.5000 0.5000 0.9070  4 Ti 2.88, 4 Cd 3.00, 4 Ag 3.02
Ag5 0.5000 0.5000 0.7040  8 Cd 3.01, 4 Ag 3.02
Cd1 0.0000 0.0000 0.1940  8 Ag 3.00-3.01, 4 Cd 3.02
Cd2 0.0000 0.0000 0.6021  8 Ag 3.01, 4 Cd 3.02
Cd3 0.0000 0.0000 0.8060  8 Ag 3.00-3.01, 4 Cd 3.02
Cd4 0.0000 0.0000 0.3979  8 Ag 3.01, 4 Cd 3.02
Ti1 0.0000 0.0000 0.0000  8 Ag 2.88, 4 Ti 3.02

Output
V = 19.00 Å³/atom
magnetization = 0.75 Bohr magnetons per cell
density of states at the Fermi level = 0.325 states/eV/atom
mass density = 9.063 Mg/m³
final energy = -2.6071 eV per atom
space group = P4/mmm (123)

[8]
## Ti2Cd2Ag (PBE)

Data for Ti2Cd2Ag after structural relaxation.

abc: 7.5228 7.5228 3.4455
angles: 90.00 90.00 90.00
With the nearest neighbours (Å) after each atom.
Fractional positions:
Ag1 0.5000 0.5000 0.0000  4 Cd 2.92
Ag2 0.0000 0.0000 0.0000  4 Cd 2.92
Cd1 0.3626 0.8626 0.0000  6 Ti 2.75-2.84, 2 Ag 2.92, 1 Cd 2.92
Cd2 0.1374 0.3626 0.0000  6 Ti 2.75-2.84, 2 Ag 2.92, 1 Cd 2.92
Cd3 0.6374 0.1374 0.0000  6 Ti 2.75-2.84, 2 Ag 2.92, 1 Cd 2.92
Cd4 0.8626 0.6374 0.0000  6 Ti 2.75-2.84, 2 Ag 2.92, 1 Cd 2.92
Ti1 0.1615 0.6615 0.5000  6 Cd 2.75-2.84
Ti2 0.8385 0.3385 0.5000  6 Cd 2.75-2.84
Ti3 0.3385 0.1615 0.5000  6 Cd 2.75-2.84
Ti4 0.6615 0.8385 0.5000  6 Cd 2.75-2.84

Output
V = 19.50 Å³/atom
ΔE to the lowest computed polymorph = 324.0 meV per atom
magnetization = 1.91 Bohr magnetons per cell
density of states at the Fermi level = 0.908 states/eV/atom
mass density = 7.297 Mg/m³
final energy = -3.8223 eV per atom
space group = P4/mbm (127)

[9]
## TiCdAg4 (PBE)

Data for TiCdAg4 after structural relaxation.

abc: 3.0520 3.0520 11.7657
angles: 90.00 90.00 90.00
With the nearest neighbours (Å) after each atom.
Fractional positions:
Ag1 0.0000 0.0000 0.6601  4 Ti 2.86, 8 Ag 2.92-3.05
Ag2 0.0000 0.0000 0.3399  4 Ti 2.86, 8 Ag 2.92-3.05
Ag3 0.5000 0.5000 0.8267  8 Ag 2.92-3.05, 4 Cd 2.97
Ag4 0.5000 0.5000 0.1733  8 Ag 2.92-3.05, 4 Cd 2.97
Ti1 0.5000 0.5000 0.5000  8 Ag 2.86, 4 Ti 3.05
Cd1 0.0000 0.0000 0.0000  8 Ag 2.97, 4 Cd 3.05

Output
V = 18.27 Å³/atom
ΔE to the lowest computed polymorph = 0.0 meV per atom
magnetization = 1.08 Bohr magnetons per cell
density of states at the Fermi level = 0.629 states/eV/atom
mass density = 8.966 Mg/m³
final energy = -3.3343 eV per atom
space group = P4/mmm (123)

[10]
## TiCd2Ag (PBE)

Data for TiCd2Ag after structural relaxation.

abc: 3.0161 3.0161 9.9661
angles: 81.30 81.30 60.00
With the nearest neighbours (Å) after each atom.
Fractional positions:
Cd1 0.7502 0.7502 0.7494  3 Ag 3.00, 3 Ti 3.01, 6 Cd 3.02
Cd2 0.2498 0.2498 0.2506  3 Ag 3.00, 3 Ti 3.01, 6 Cd 3.02
Ag1 0.5000 0.5000 0.5000  6 Cd 3.00, 6 Ag 3.02
Ti1 0.0000 0.0000 0.0000  6 Cd 3.01, 6 Ti 3.02

Output
V = 19.33 Å³/atom
magnetization = 0.00 Bohr magnetons per cell
density of states at the Fermi level = 0.896 states/eV/atom
mass density = 8.174 Mg/m³
final energy = -3.0885 eV per atom
space group = R-3m (166)

Copy entry 6 word for word.
## TiCd2Ag2 (PBE)

Data for TiCd2Ag2 after structural relaxation.

abc: 7.9716 7.9716 3.1219
angles: 90.00 90.00 90.00
With the nearest neighbours (Å) after each atom.
Fractional positions:
Ag1 0.3715 0.8715 0.0000  6 Cd 2.75-2.87, 1 Ag 2.90
Ag2 0.1285 0.3715 0.0000  6 Cd 2.75-2.87, 1 Ag 2.90
Ag3 0.6285 0.1285 0.0000  6 Cd 2.75-2.87, 1 Ag 2.90
Ag4 0.8715 0.6285 0.0000  6 Cd 2.75-2.87, 1 Ag 2.90
Cd1 0.6711 0.8289 0.5000  6 Ag 2.75-2.87
Cd2 0.1711 0.6711 0.5000  6 Ag 2.75-2.87
Cd3 0.3289 0.1711 0.5000  6 Ag 2.75-2.87
Cd4 0.8289 0.3289 0.5000  6 Ag 2.75-2.87
Ti1 0.5000 0.5000 0.0000  2 Ti 3.12, 4 Ag 3.13, 8 Cd 3.34
Ti2 0.0000 0.0000 0.0000  2 Ti 3.12, 4 Ag 3.13, 8 Cd 3.34

Output
V = 19.84 Å³/atom
ΔE to the lowest computed polymorph = 0.0 meV per atom
magnetization = 3.84 Bohr magnetons per cell
density of states at the Fermi level = 0.529 states/eV/atom
mass density = 8.176 Mg/m³
final energy = -2.9251 eV per atom
space group = P4/mbm (127)

Question: Which of these has the highest magnetization?
Answer: Ti12Cd3Ag5